Material: Na2B3C
Method: DFT, PBE
State: relaxed

Summary:
The value obtained for the relative energy among the computed polymorphs is 22 meV per atom. The total energy comes out at -123.84 eV/cell. As for the magnetic moment: 0.0 μB/f.u.

Cell lengths 2.825, 8.614, 10.412 Å; angles 90.00, 90.00, 90.00 degrees
Space group Pmm2 (No. 25)
Unique sites:
Na (0.000, 0.246, 0.000) x2
Na (0.000, 0.253, 0.497) x2
Na (0.500, 0.249, 0.749) x2
Na (0.500, 0.250, 0.248) x2
B (0.000, 0.000, 0.326) x1
B (0.000, 0.000, 0.672) x1
B (0.000, 0.000, 0.847) x1
B (0.000, 0.500, 0.155) x1
B (0.000, 0.500, 0.318) x1
B (0.000, 0.500, 0.672) x1
B (0.000, 0.500, 0.833) x1
B (0.500, 0.000, 0.087) x1
B (0.500, 0.000, 0.559) x1
B (0.500, 0.500, 0.416) x1
B (0.500, 0.500, 0.577) x1
B (0.500, 0.500, 0.932) x1
C (0.000, 0.000, 0.167) x1
C (0.500, 0.000, 0.407) x1
C (0.500, 0.000, 0.927) x1
C (0.500, 0.500, 0.081) x1